[1]
The following is a DFT calculation (PBE-GGA) of a relaxed structure of Ir2RhSe.

Computed properties:
- DOS at the Fermi energy: 4.19 states/eV/f.u.
- Calculated total energy: -27.32 eV per cell
- Uncorrected formation energy: 0.31 eV/atom

Cell: 2.830 3.793 5.743 Å, 90.00 90.00 90.00°
Element x y z (fractional)
Ir: 0.000 0.000 0.032
Ir: 0.500 0.500 0.247
Rh: 0.000 0.000 0.513
Se: 0.500 0.500 0.708

[2]
The following is a DFT calculation (PBE-GGA) of a relaxed structure of FePbSe2Br.

Computed properties:
- DOS at the Fermi energy: 5.09 states/eV/f.u.
- Calculated total energy: -21.40 eV per cell
- Uncorrected formation energy: -0.12 eV/atom

Cell: 4.860 4.860 5.191 Å, 90.00 90.00 90.00°
Element x y z (fractional)
Fe: 0.000 0.000 0.000
Br: 0.000 0.000 0.500
Pb: 0.500 0.500 0.500
Se: 0.500 0.000 0.000
Se: 0.000 0.500 0.000

[3]
The following is a DFT calculation (PBE-GGA) of a relaxed structure of RbCuAg2Cl6.

Computed properties:
- DOS at the Fermi energy: 1.45 states/eV/f.u.
- Calculated total energy: -58.20 eV per cell
- Uncorrected formation energy: -0.73 eV/atom

Cell: 8.880 9.584 9.584 Å, 67.05 64.52 64.52°
Element x y z (fractional)
Rb: 0.250 0.795 0.205
Rb: 0.750 0.205 0.795
Ag: 0.832 0.657 0.764
Ag: 0.332 0.764 0.657
Ag: 0.668 0.236 0.343
Ag: 0.168 0.343 0.236
Cu: 0.250 0.188 0.812
Cu: 0.750 0.812 0.188
Cl: 0.675 0.759 0.025
Cl: 0.581 0.605 0.767
Cl: 0.175 0.025 0.759
Cl: 0.476 0.877 0.348
Cl: 0.524 0.123 0.652
Cl: 0.419 0.395 0.233
Cl: 0.919 0.233 0.395
Cl: 0.976 0.348 0.877
Cl: 0.325 0.241 0.975
Cl: 0.081 0.767 0.605
Cl: 0.024 0.652 0.123
Cl: 0.825 0.975 0.241